Entry 1:
Below is an optimized crystal structure of Ac2Pr4NdHo, with properties calculated at the PBE-GGA level. Values from VASP.

Quantum ESPRESSO input file:
```
&SYSTEM
  ibrav = 0, nat = 8, ntyp = 4
/
ATOMIC_SPECIES
Ac 227.00 Ac.upf
Pr 140.91 Pr.upf
Nd 144.24 Nd.upf
Ho 164.93 Ho.upf
ATOMIC_POSITIONS crystal
Ac 0.0000 0.0000 0.0000
Ac 0.5000 0.5000 0.0000
Pr 0.2462 0.0000 0.7404
Pr 0.2514 0.5000 0.2579
Pr 0.7486 0.5000 0.7421
Pr 0.7538 0.0000 0.2596
Nd 0.5000 0.0000 0.5000
Ho 0.0000 0.5000 0.5000
CELL_PARAMETERS angstrom
6.5234 0.0000 0.0000
0.0000 3.7769 0.0000
-2.2181 0.0000 12.2028
```

## Properties
total magnetic moment = 0.0 μB per formula unit
E = -4.546 eV per atom
energy of formation = 0.0387 eV/atom
symmetry = No. 10

=====

Entry 2:
Below is an optimized crystal structure of AcPr2Nd2Ho2, with properties calculated at the PBE-GGA level. Values from VASP.

Quantum ESPRESSO input file:
```
&SYSTEM
  ibrav = 0, nat = 7, ntyp = 4
/
ATOMIC_SPECIES
Ac 227.00 Ac.upf
Pr 140.91 Pr.upf
Nd 144.24 Nd.upf
Ho 164.93 Ho.upf
ATOMIC_POSITIONS crystal
Ac 0.0000 0.0000 0.0000
Pr 0.2855 0.2855 0.8480
Pr 0.7145 0.7145 0.1520
Nd 0.4263 0.4263 0.2933
Nd 0.5737 0.5737 0.7067
Ho 0.1425 0.1425 0.4338
Ho 0.8575 0.8575 0.5662
CELL_PARAMETERS angstrom
5.8400 -2.6166 0.0000
5.8400 2.6166 0.0000
-1.1735 0.0000 8.1530
```

## Properties
total magnetic moment = 0.0 μB per formula unit
E = -4.590 eV per atom
energy of formation = 0.0328 eV/atom
symmetry = No. 12

=====

Entry 3:
Below is an optimized crystal structure of AcPrNd5Ho2, with properties calculated at the PBE-GGA level. Values from VASP.

Quantum ESPRESSO input file:
```
&SYSTEM
  ibrav = 0, nat = 18, ntyp = 4
/
ATOMIC_SPECIES
Ac 227.00 Ac.upf
Pr 140.91 Pr.upf
Nd 144.24 Nd.upf
Ho 164.93 Ho.upf
ATOMIC_POSITIONS crystal
Ac 0.1025 0.8975 0.5000
Ac 0.8975 0.1025 0.0000
Pr 0.2659 0.7341 0.1079
Pr 0.7341 0.2659 0.6079
Nd 0.0249 0.9751 0.8279
Nd 0.1038 0.8962 0.1082
Nd 0.1879 0.8121 0.8024
Nd 0.2407 0.7593 0.4305
Nd 0.4930 0.5070 0.6085
Nd 0.5070 0.4930 0.1085
Nd 0.7593 0.2407 0.9305
Nd 0.8121 0.1879 0.3024
Nd 0.8962 0.1038 0.6082
Nd 0.9751 0.0249 0.3279
Ho 0.3283 0.6717 0.7445
Ho 0.3881 0.6119 0.3670
Ho 0.6119 0.3881 0.8670
Ho 0.6717 0.3283 0.2445
CELL_PARAMETERS angstrom
2.8246 -12.1436 0.0000
2.8246 12.1436 0.0000
0.0000 0.0000 9.5974
```

## Properties
total magnetic moment = 0.0 μB per formula unit
E = -4.510 eV per atom
energy of formation = 0.1437 eV/atom
symmetry = No. 36

=====

Entry 4:
Below is an optimized crystal structure of Ac5Pr2NdHo, with properties calculated at the PBE-GGA level. Values from VASP.

Quantum ESPRESSO input file:
```
&SYSTEM
  ibrav = 0, nat = 18, ntyp = 4
/
ATOMIC_SPECIES
Ac 227.00 Ac.upf
Pr 140.91 Pr.upf
Nd 144.24 Nd.upf
Ho 164.93 Ho.upf
ATOMIC_POSITIONS crystal
Ac 0.0000 0.0000 0.0000
Ac 0.0873 0.5873 0.9495
Ac 0.1378 0.0873 0.5000
Ac 0.3622 0.8622 0.9495
Ac 0.4127 0.3622 0.5000
Ac 0.5000 0.5000 0.0000
Ac 0.5873 0.6378 0.5000
Ac 0.6378 0.1378 0.0505
Ac 0.8622 0.9127 0.5000
Ac 0.9127 0.4127 0.0505
Pr 0.1226 0.3774 0.5000
Pr 0.3774 0.8774 0.2548
Pr 0.6226 0.1226 0.7452
Pr 0.8774 0.6226 0.5000
Nd 0.2500 0.2500 0.0000
Nd 0.7500 0.7500 0.0000
Ho 0.2500 0.7500 0.5000
Ho 0.7500 0.2500 0.5000
CELL_PARAMETERS angstrom
-4.2437 4.2437 10.3780
4.2437 -4.2437 10.3780
4.2437 4.2437 -10.3780
```

## Properties
total magnetic moment = 0.0 μB per formula unit
E = -4.103 eV per atom
energy of formation = 0.2803 eV/atom
symmetry = No. 140